<P>
Crystalline AsRuPt at its relaxed geometry. Source: Alexandria, functional PBE.

Unit cell a=4.1059 b=4.1059 c=4.1059 alpha=60.00 beta=60.00 gamma=60.00
Element x y z (fractional)
Ru1 0.5000 0.5000 0.5000
As1 0.7500 0.7500 0.7500
Pt1 0.0000 0.0000 0.0000

N(E_F) in states/eV per atom: 0.42
Magnetization in μB/f.u.: 0.0

<Q>
Crystalline AsRuPt at its relaxed geometry. Source: Alexandria, functional PBE.

Unit cell a=5.4429 b=5.4429 c=5.4429 alpha=147.74 beta=147.74 gamma=46.27
Element x y z (fractional)
Ru1 0.6447 0.6447 0.0000
As1 0.0125 0.0125 0.0000
Pt1 0.3428 0.3428 0.0000

N(E_F) in states/eV per atom: 1.15
Magnetization in μB/f.u.: 0.0

<R>
Crystalline AsRuPt at its relaxed geometry. Source: Alexandria, functional PBE.

Unit cell a=4.0835 b=4.0835 c=3.2625 alpha=90.00 beta=90.00 gamma=120.00
Element x y z (fractional)
Ru1 0.3333 0.6667 0.7650
As1 0.0000 0.0000 0.9520
Pt1 0.6667 0.3333 0.2830

N(E_F) in states/eV per atom: 0.96
Magnetization in μB/f.u.: 0.0

The structure with the greatest stability is <P>.

<P>
Crystalline As2RuPt at its relaxed geometry. Source: Alexandria, functional PBE.

Unit cell a=5.5828 b=5.5828 c=6.7629 alpha=65.62 beta=65.62 gamma=90.00
Element x y z (fractional)
Ru1 0.5000 0.5000 0.0000
Ru2 0.2500 0.7500 0.5000
As1 0.6139 0.1250 0.2500
As2 0.1361 0.6250 0.2500
As3 0.3750 0.3861 0.7500
As4 0.8750 0.8639 0.7500
Pt1 0.0000 0.0000 0.0000
Pt2 0.7500 0.2500 0.5000

N(E_F) in states/eV per atom: 0.58
Magnetization in μB/f.u.: 0.0

<Q>
Crystalline As2RuPt at its relaxed geometry. Source: Alexandria, functional PBE.

Unit cell a=4.5200 b=4.5200 c=4.5200 alpha=60.00 beta=60.00 gamma=60.00
Site moments in Bohr magnetons follow the coordinates.
Element x y z (fractional)
Ru1 0.7500 0.7500 0.7500  0.56
As1 0.0000 0.0000 0.0000  0.02
As2 0.2500 0.2500 0.2500  0.03
Pt1 0.5000 0.5000 0.5000  0.07

N(E_F) in states/eV per atom: 0.96
Magnetization in μB/f.u.: 0.7

<R>
Crystalline As2RuPt at its relaxed geometry. Source: Alexandria, functional PBE.

Unit cell a=4.4234 b=4.4234 c=3.2236 alpha=90.00 beta=90.00 gamma=90.00
Site moments in Bohr magnetons follow the coordinates.
Element x y z (fractional)
Ru1 0.0000 0.5000 0.5000  0.39
As1 0.0000 0.0000 0.0000  0.00
As2 0.5000 0.5000 0.0000  0.00
Pt1 0.5000 0.0000 0.5000  0.07

N(E_F) in states/eV per atom: 0.92
Magnetization in μB/f.u.: 0.5

<S>
Crystalline As2RuPt at its relaxed geometry. Source: Alexandria, functional PBE.

Unit cell a=3.0322 b=3.0322 c=7.8131 alpha=90.00 beta=90.00 gamma=90.00
Element x y z (fractional)
Ru1 0.5000 0.5000 0.7545
As1 0.0000 0.0000 0.9272
As2 0.5000 0.5000 0.3179
Pt1 0.0000 0.0000 0.5004

N(E_F) in states/eV per atom: 0.40
Magnetization in μB/f.u.: 0.0

The structure with the greatest stability is <S>.

<P>
Crystalline As4RuPt at its relaxed geometry. Source: Alexandria, functional PBE.

Unit cell a=5.3288 b=5.3288 c=5.3288 alpha=60.00 beta=60.00 gamma=60.00
Element x y z (fractional)
As1 0.6254 0.6254 0.1237
As2 0.6254 0.1237 0.6254
As3 0.6254 0.6254 0.6254
As4 0.1237 0.6254 0.6254
Ru1 0.0000 0.0000 0.0000
Pt1 0.2500 0.2500 0.2500

N(E_F) in states/eV per atom: 0.39
Magnetization in μB/f.u.: 0.0

<Q>
Crystalline As4RuPt at its relaxed geometry. Source: Alexandria, functional PBE.

Unit cell a=6.0605 b=6.0338 c=6.0360 alpha=90.00 beta=90.12 gamma=90.00
Element x y z (fractional)
As1 0.8851 0.6144 0.1242
As2 0.6149 0.1144 0.8758
As3 0.3738 0.3753 0.3947
As4 0.1262 0.8753 0.6053
As5 0.1149 0.3856 0.8758
As6 0.3851 0.8856 0.1242
As7 0.6262 0.6247 0.6053
As8 0.8738 0.1247 0.3947
Ru1 0.5000 0.0000 0.5000
Ru2 0.0000 0.5000 0.5000
Pt1 0.0000 0.0000 0.0000
Pt2 0.5000 0.5000 0.0000

N(E_F) in states/eV per atom: 0.71
Magnetization in μB/f.u.: 0.0

The structure with the greatest stability is <Q>.

<P>
Crystalline AsPt3S at its relaxed geometry. Source: Alexandria, functional PBE.

Unit cell a=4.6819 b=4.6819 c=4.6819 alpha=90.00 beta=90.00 gamma=90.00
Element x y z (fractional)
As1 0.0000 0.0000 0.0000
S1 0.5000 0.5000 0.5000
Pt1 0.0000 0.5000 0.0000
Pt2 0.0000 0.0000 0.5000
Pt3 0.5000 0.0000 0.0000

N(E_F) in states/eV per atom: 0.72
Magnetization in μB/f.u.: 0.0

<Q>
Crystalline AsPt3S at its relaxed geometry. Source: Alexandria, functional PBE.

Unit cell a=4.5429 b=4.5429 c=4.5429 alpha=90.00 beta=90.00 gamma=90.00
Element x y z (fractional)
As1 0.5000 0.5000 0.5000
S1 0.0000 0.0000 0.0000
Pt1 0.0000 0.5000 0.0000
Pt2 0.0000 0.0000 0.5000
Pt3 0.5000 0.0000 0.0000

N(E_F) in states/eV per atom: 0.91
Magnetization in μB/f.u.: 0.0

The structure with the greatest stability is <Q>.

<P>
Crystalline As3PtS at its relaxed geometry. Source: Alexandria, functional PBE.

Unit cell a=4.9080 b=4.9080 c=4.9080 alpha=90.00 beta=90.00 gamma=90.00
Element x y z (fractional)
As1 0.0000 0.5000 0.0000
As2 0.0000 0.0000 0.5000
As3 0.5000 0.0000 0.0000
S1 0.5000 0.5000 0.5000
Pt1 0.0000 0.0000 0.0000

N(E_F) in states/eV per atom: 1.22
Magnetization in μB/f.u.: 0.0

<Q>
Crystalline As3PtS at its relaxed geometry. Source: Alexandria, functional PBE.

Unit cell a=4.6811 b=4.6811 c=4.6811 alpha=90.00 beta=90.00 gamma=90.00
Element x y z (fractional)
As1 0.0000 0.5000 0.0000
As2 0.0000 0.0000 0.5000
As3 0.5000 0.0000 0.0000
S1 0.0000 0.0000 0.0000
Pt1 0.5000 0.5000 0.5000

N(E_F) in states/eV per atom: 0.92
Magnetization in μB/f.u.: 0.0

The structure with the greatest stability is <P>.

<P>
Crystalline AsPtS3 at its relaxed geometry. Source: Alexandria, functional PBE.

Unit cell a=4.6811 b=4.6811 c=4.6811 alpha=90.00 beta=90.00 gamma=90.00
Element x y z (fractional)
As1 0.5000 0.5000 0.5000
S1 0.0000 0.5000 0.0000
S2 0.0000 0.0000 0.5000
S3 0.5000 0.0000 0.0000
Pt1 0.0000 0.0000 0.0000

N(E_F) in states/eV per atom: 0.83
Magnetization in μB/f.u.: 0.0

<Q>
Crystalline AsPtS3 at its relaxed geometry. Source: Alexandria, functional PBE.

Unit cell a=4.6613 b=4.6613 c=4.6613 alpha=90.00 beta=90.00 gamma=90.00
Site moments in Bohr magnetons follow the coordinates.
Element x y z (fractional)
As1 0.0000 0.0000 0.0000  0.00
Pt1 0.5000 0.5000 0.5000  0.68
S1 0.0000 0.5000 0.0000  0.17
S2 0.0000 0.0000 0.5000  0.17
S3 0.5000 0.0000 0.0000  0.17

N(E_F) in states/eV per atom: 1.49
Magnetization in μB/f.u.: 1.4

The structure with the greatest stability is <P>.

<P>
Crystalline As2Pt2S at its relaxed geometry. Source: Alexandria, functional PBE.

Unit cell a=4.1989 b=4.1989 c=6.2324 alpha=70.31 beta=70.31 gamma=90.00
Element x y z (fractional)
As1 0.7500 0.2500 0.5000
As2 0.2500 0.7500 0.5000
S1 0.0000 0.0000 0.0000
Pt1 0.3785 0.3785 0.2430
Pt2 0.6215 0.6215 0.7570

N(E_F) in states/eV per atom: 0.35
Magnetization in μB/f.u.: 0.0

<Q>
Crystalline As2Pt2S at its relaxed geometry. Source: Alexandria, functional PBE.

Unit cell a=7.1415 b=7.1415 c=3.4480 alpha=90.00 beta=90.00 gamma=90.00
Element x y z (fractional)
As1 0.1513 0.6513 0.5000
As2 0.6513 0.8487 0.5000
As3 0.8487 0.3487 0.5000
As4 0.3487 0.1513 0.5000
S1 0.0000 0.0000 0.0000
S2 0.5000 0.5000 0.0000
Pt1 0.3598 0.8598 0.0000
Pt2 0.8598 0.6402 0.0000
Pt3 0.6402 0.1402 0.0000
Pt4 0.1402 0.3598 0.0000

N(E_F) in states/eV per atom: 0.48
Magnetization in μB/f.u.: 0.0

The structure with the greatest stability is <Q>.

<P>
Crystalline AsPt2S at its relaxed geometry. Source: Alexandria, functional PBE.

Unit cell a=5.7130 b=5.7130 c=6.5231 alpha=64.03 beta=64.03 gamma=90.00
Element x y z (fractional)
As1 0.0000 0.0000 0.0000
As2 0.7500 0.2500 0.5000
S1 0.5000 0.5000 0.0000
S2 0.2500 0.7500 0.5000
Pt1 0.6088 0.1250 0.2500
Pt2 0.1412 0.6250 0.2500
Pt3 0.3750 0.3912 0.7500
Pt4 0.8750 0.8588 0.7500

N(E_F) in states/eV per atom: 0.77
Magnetization in μB/f.u.: 0.0

<Q>
Crystalline AsPt2S at its relaxed geometry. Source: Alexandria, functional PBE.

Unit cell a=4.4860 b=4.4860 c=4.4860 alpha=60.00 beta=60.00 gamma=60.00
Element x y z (fractional)
As1 0.5000 0.5000 0.5000
S1 0.0000 0.0000 0.0000
Pt1 0.2500 0.2500 0.2500
Pt2 0.7500 0.7500 0.7500

N(E_F) in states/eV per atom: 0.41
Magnetization in μB/f.u.: 0.0

The structure with the greatest stability is <P>.